(1)
Below is crystalline NpMn2HO6 at its relaxed geometry, with properties calculated at the GGA+U level.

Lattice parameters (Å, degrees): 5.2793 4.3962 10.3693 90.00 120.36 90.00
With the nearest neighbours (Å) after each atom.
Space group P2_1/c (No. 14)
One atom of each set of equivalent atoms:
Np 0.0000 0.0000 0.0000 x2  4 O 2.04-2.08
Mn 0.3170 0.0036 0.8221 x4  6 O 1.97-2.06
H 0.5000 0.0000 0.5000 x2  2 O 1.25
O 0.0005 0.2473 0.8293 x4  2 Mn 1.97-2.02, 1 Np 2.08
O 0.3396 0.2298 0.1697 x4  2 Mn 2.02-2.05, 1 Np 2.04
O 0.3768 0.7434 0.0007 x4  1 H 1.25


(2)
Below is crystalline NpMnH2O6 at its relaxed geometry, with properties calculated at the GGA+U level.

Lattice parameters (Å, degrees): 5.0949 5.1297 5.5890 64.22 65.62 66.60
With the nearest neighbours (Å) after each atom.
Space group P-1 (No. 2)
One atom of each set of equivalent atoms:
Np 0.0000 0.0000 0.0000 x1  4 O 1.86-1.98
Mn 0.5000 0.5000 0.5000 x1  4 O 1.94
H 0.3967 0.2415 0.2789 x2  1 O 0.98
O 0.1486 0.3570 0.7424 x2  1 Mn 1.94, 1 Np 1.98
O 0.2257 0.9176 0.2270 x2  1 Np 1.86
O 0.4190 0.7257 0.7371 x2  1 H 0.98


| no. | uncorrected energy (eV/atom) | density (g cm⁻³) |
| --- | --- | --- |
| 1 | -7.71 | 7.10 |
| 2 | -7.47 | 5.61 |